Record 1
Material: Pr5Sm6Sc
Method: DFT, PBE
State: relaxed

Cell lengths 6.2942, 10.8985, 12.0783 Å; angles 90.00, 100.04, 90.00 degrees
Last column: nearest neighbours and their distance in Å.
Space group C2/m (No. 12)
One atom of each set of equivalent atoms:
Pr1 0.0000 0.0000 0.0000 x2  6 Pr 3.63, 6 Sm 3.67-3.68
Pr2 0.0000 0.1667 0.5000 x4  6 Sm 3.61-3.62, 3 Sc 3.63, 3 Pr 3.63
Pr3 0.0000 0.3335 0.0000 x4  6 Pr 3.63-3.64, 6 Sm 3.66-3.69
Sm1 0.2458 0.3354 0.7464 x8  1 Sc 3.59, 6 Sm 3.59-3.66, 5 Pr 3.61-3.69
Sm2 0.2479 0.5000 0.2533 x4  6 Sm 3.59-3.66, 1 Sc 3.60, 5 Pr 3.61-3.68
Sc1 0.0000 0.5000 0.5000 x2  6 Sm 3.59-3.60, 6 Pr 3.63

Output
DOS(E_F) = 1.4710 states/eV/atom
spin magnetization = 0.00 μB per formula unit

Record 2
Material: VSiS
Method: DFT, PBE
State: relaxed

Cell lengths 8.7807, 3.1558, 6.7012 Å; angles 90.00, 110.38, 90.00 degrees
Last column: nearest neighbours and their distance in Å.
Space group Cm (No. 8)
One atom of each set of equivalent atoms:
V1 0.0000 0.0000 0.0000 x2  4 S 2.32-2.51
V2 0.2492 0.5000 0.6139 x2  3 S 2.41-2.42, 5 Si 2.47-2.57
Si1 0.0201 0.0000 0.3983 x2  2 S 2.51, 2 Si 2.53, 3 V 2.57-2.61
Si2 0.4766 0.0000 0.6695 x2  5 V 2.47-2.67, 2 Si 2.53
S1 0.1633 0.5000 0.2314 x2  3 V 2.32-2.41, 2 Si 2.51
S2 0.2625 0.0000 0.8933 x2  5 V 2.42-2.64

Output
raw formation energy = -9.24 kcal/mol of atoms
DOS(E_F) = 0.1243 states/eV/atom
spin magnetization = 0.00 μB per formula unit

Record 3
Material: WSeCl2
Method: DFT, PBE
State: relaxed

Cell lengths 3.0682, 4.5788, 5.2343 Å; angles 90.00, 90.00, 90.00 degrees
Last column: nearest neighbours and their distance in Å.
Space group Pmmm (No. 47)
One atom of each set of equivalent atoms:
W1 0.0000 0.0000 0.0000 x1  4 Cl 2.76, 4 Se 3.03, 2 W 3.07
Se1 0.5000 0.0000 0.5000 x1  4 Cl 2.76, 4 W 3.03, 2 Se 3.07
Cl1 0.0000 0.5000 0.5000 x1  4 Se 2.76, 6 Cl 3.03-3.07
Cl2 0.5000 0.5000 0.0000 x1  4 W 2.76, 6 Cl 3.03-3.07

Output
raw formation energy = 19.63 kcal/mol of atoms
DOS(E_F) = 0.7343 states/eV/atom
spin magnetization = 2.14 μB per formula unit

Record 4
Material: Li3AcPd4O12
Method: DFT, PBE
State: relaxed

Cell lengths 7.6449, 7.6449, 7.6449 Å; angles 90.00, 90.00, 90.00 degrees
Last column: nearest neighbours and their distance in Å.
Space group Im-3 (No. 204)
One atom of each set of equivalent atoms:
Li1 0.0000 0.0000 0.5000 x6  4 O 2.02
Ac1 0.0000 0.0000 0.0000 x2  12 O 2.67
Pd1 0.2500 0.2500 0.2500 x8  6 O 2.03
O1 0.0000 0.3018 0.1751 x24  1 Li 2.02, 2 Pd 2.03

Output
raw formation energy = -23.32 kcal/mol of atoms
DOS(E_F) = 0.5684 states/eV/atom
spin magnetization = 1.84 μB per formula unit

Number 1: DFT total energy -116.44 eV per cell. Number 2: DFT total energy -79.48 eV per cell. Number 3: DFT total energy -16.73 eV per cell. Number 4: DFT total energy -220.70 eV per cell.